1.
{
  "formula": "EuUIr2",
  "functional": "PBE",
  "state": "optimized geometry",
  "lattice_angstrom": [[3.830, 0.000, 0.000], [1.915, 3.317, 0.000], [1.915, 1.106, 7.290]],
  "species": ["Ir", "Eu", "U", "Ir"],
  "fractional_positions": [[0.262, 0.262, 0.213], [0.500, 0.500, 0.500], [0.000, 0.000, 0.000], [0.738, 0.738, 0.787]],
  "e_tot_ev_per_atom": -10.245,
  "ef_kj_per_mol_atoms": -40.9,
  "de_polymorph_mev_per_atom": 56
}

***

2.
{
  "formula": "EuYIr",
  "functional": "PBE",
  "state": "optimized geometry",
  "lattice_angstrom": [[-3.290, -0.547, 1.014], [0.077, -3.167, -1.456], [3.812, -0.736, 5.979]],
  "species": ["Eu", "Y", "Ir"],
  "fractional_positions": [[0.035, 0.035, 0.070], [0.289, 0.289, 0.577], [0.676, 0.676, 0.353]],
  "e_tot_ev_per_atom": -8.980,
  "ef_kj_per_mol_atoms": -43.1,
  "de_polymorph_mev_per_atom": 47
}

***

3.
{
  "formula": "EuYIr",
  "functional": "PBE",
  "state": "optimized geometry",
  "lattice_angstrom": [[4.875, 0.000, 0.000], [2.438, 4.222, 0.000], [2.438, 1.407, 3.981]],
  "species": ["Ir", "Y", "Eu"],
  "fractional_positions": [[0.250, 0.250, 0.250], [0.500, 0.500, 0.500], [0.000, 0.000, 0.000]],
  "e_tot_ev_per_atom": -9.027,
  "ef_kj_per_mol_atoms": -47.6,
  "de_polymorph_mev_per_atom": 0
}

***

4.
{
  "formula": "EuY3Ir",
  "functional": "PBE",
  "state": "optimized geometry",
  "lattice_angstrom": [[-2.817, -1.799, 4.370], [-1.772, -4.314, -2.918], [4.380, -2.902, 1.629]],
  "species": ["Y", "Ir", "Eu", "Y", "Y"],
  "fractional_positions": [[0.000, 0.500, 0.000], [0.000, 0.000, 0.000], [0.500, 0.500, 0.500], [0.000, 0.000, 0.500], [0.500, 0.000, 0.000]],
  "e_tot_ev_per_atom": -8.048,
  "ef_kj_per_mol_atoms": -33.0
}

***

5.
{
  "formula": "Eu2YIr",
  "functional": "PBE",
  "state": "optimized geometry",
  "lattice_angstrom": [[-2.714, -2.641, 0.115], [-1.184, -1.355, 3.334], [-8.638, 6.228, 1.615]],
  "species": ["Y", "Eu", "Eu", "Ir"],
  "fractional_positions": [[0.000, 0.000, 0.000], [0.110, 0.110, 0.670], [0.890, 0.890, 0.330], [0.500, 0.500, 0.500]],
  "e_tot_ev_per_atom": -8.843,
  "ef_kj_per_mol_atoms": 12.1
}

***

6.
{
  "formula": "EuZn3Ir",
  "functional": "PBE",
  "state": "optimized geometry",
  "lattice_angstrom": [[-4.251, 0.279, 2.285], [1.565, -3.169, 3.299], [1.688, 3.641, 2.696]],
  "species": ["Zn", "Ir", "Zn", "Eu", "Zn"],
  "fractional_positions": [[0.000, 0.500, 0.000], [0.000, 0.000, 0.000], [0.000, 0.000, 0.500], [0.500, 0.500, 0.500], [0.500, 0.000, 0.000]],
  "e_tot_ev_per_atom": -4.852,
  "ef_kj_per_mol_atoms": -25.1
}